Version w
Material: YZrHg2
Method: DFT, SCAN
State: PBEsol geometry

```
4
Lattice="-2.795 1.425 -1.195 -1.352 -3.561 -1.086 -2.941 -0.719 6.021" Properties=species:S:1:pos:R:3 pbc="T T T"
Y -2.074 -1.068 -1.140
Hg -2.156 -0.527 4.414
Hg -0.785 -0.192 1.607
Zr -3.544 -1.427 1.870
```



Version x
Material: YZrHg2
Method: DFT, SCAN
State: PBEsol geometry

```
4
Lattice="-0.994 -2.869 -4.020 -3.116 -3.936 0.423 -4.558 0.154 -2.140" Properties=species:S:1:pos:R:3 pbc="T T T"
Hg -6.500 -4.988 -4.303
Hg -2.167 -1.663 -1.434
Y 0.000 0.000 0.000
Zr -4.334 -3.325 -2.869
```



The computed energies, referenced to the most stable structure and given in kJ/mol of atoms, are version w 0.0; version x 1.1.



Version w
Material: AsIrCl2
Method: DFT, SCAN
State: PBEsol geometry

```
4
Lattice="2.896 0.000 0.000 0.000 4.873 0.125 0.000 -1.506 4.636" Properties=species:S:1:pos:R:3 pbc="T T T"
Cl 0.000 2.437 0.062
Cl 0.000 -0.753 2.318
Ir 1.448 0.000 0.000
As 1.448 1.684 2.381
```



Version x
Material: AsIrCl2
Method: DFT, SCAN
State: PBEsol geometry

```
4
Lattice="-3.643 -0.617 -1.193 1.333 -2.998 -2.518 -0.521 -2.772 3.025" Properties=species:S:1:pos:R:3 pbc="T T T"
As -1.821 -0.309 -0.597
Cl -0.260 -1.386 1.512
Cl 0.666 -1.499 -1.259
Ir -1.415 -3.194 -0.343
```



The computed energies, referenced to the most stable structure and given in kJ/mol of atoms, are version w 0.0; version x 2.1.



Version w
Material: AlZn2Cd
Method: DFT, SCAN
State: PBEsol geometry

```
4
Lattice="-0.324 -1.285 -3.083 1.674 -3.544 1.301 -4.317 -1.091 2.585" Properties=species:S:1:pos:R:3 pbc="T T T"
Zn -4.484 -2.100 0.049
Zn -0.658 -3.288 -1.555
Al -2.064 -1.150 -0.476
Cd -2.722 -2.944 2.039
```



Version x
Material: AlZn2Cd
Method: DFT, SCAN
State: PBEsol geometry

```
4
Lattice="-1.334 3.872 -0.321 -3.720 -1.371 -1.073 1.455 -1.306 4.484" Properties=species:S:1:pos:R:3 pbc="T T T"
Zn -2.396 -0.713 1.357
Zn -1.203 1.908 1.733
Al -2.527 1.251 -0.697
Cd 0.000 0.000 0.000
```



The computed energies, referenced to the most stable structure and given in kJ/mol of atoms, are version w 0.0; version x 1.1.